Material: Pr3TlCd4
Method: DFT, PBE
State: optimized geometry

```
data_Pr3TlCd4
_space_group_name_H-M_alt 'P 1'
_space_group_IT_number 1
_cell_length_a 11.025
_cell_length_b 11.025
_cell_length_c 11.025
_cell_angle_alpha 161.96
_cell_angle_beta 145.98
_cell_angle_gamma 38.77
loop_
_space_group_symop_operation_xyz
'x,y,z'
loop_
_atom_site_label
_atom_site_fract_x
_atom_site_fract_y
_atom_site_fract_z
_atom_site_occupancy
Pr1 0.000 0.000 0.000 1
Pr2 0.261 0.761 0.500 1
Pr3 0.739 0.239 0.500 1
Tl1 0.500 0.500 0.000 1
Cd1 0.122 0.377 0.744 1
Cd2 0.367 0.623 0.744 1
Cd3 0.633 0.377 0.256 1
Cd4 0.878 0.623 0.256 1
```

Computed properties:
calculated volume: 231.88 Å³ per cell
E: -2.699 eV per atom
formation energy: -0.15 eV/atom
N(E_F): 6.3 states/eV per cell